Here is Nd4YHo5 after structural relaxation from the Alexandria database. Energies are from PBE-GGA.

It has space group C2/m (No. 12), with a = 17.1982 Å, b = 3.5345 Å, c = 11.2748 Å, α = 90.00°, β = 90.14° and γ = 90.00°. Symmetry generates all atoms from Nd at (0.0322, 0.0000, 0.2489), Nd at (0.1570, 0.5000, 0.7502), Y at (0.0000, 0.5000, 0.5000), Ho at (0.0000, 0.5000, 0.0000), Ho at (0.1734, 0.0000, 0.0499) and Ho at (0.1740, 0.0000, 0.4488).

The value obtained for the total energy is -0.1709 Ha/atom. The value obtained for the energy above the lowest structure with this stoichiometry is 0.0000 eV per atom. The formation energy is 0.19 eV/atom.